Entry 1:
A plane-wave DFT calculation with PBE was carried out for a relaxed MnTcRh crystal.

Properties
Its formation energy from the elements is 448 meV per atom. The distance to the lowest polymorph of the same formula comes out at 450 meV/atom. The total energy comes out at -102.17 eV per cell. For the volume, the calculation gives 15.1 Å³ per atom.

a b c (Å): 5.654 5.654 5.654
angles (deg): 90.00 90.00 90.00
Space group F-43m (No. 216)
One atom of each set of equivalent atoms:
Mn 0.000 0.000 0.000 (multiplicity 4)
Tc 0.250 0.250 0.250 (multiplicity 4)
Rh 0.250 0.250 0.750 (multiplicity 4)


Entry 2:
A plane-wave DFT calculation with PBE was carried out for a relaxed Mn2TcRh crystal.

Properties
Its formation energy from the elements is -7 meV per atom. The total energy comes out at -36.08 eV per cell. For the volume, the calculation gives 13.2 Å³ per atom.

a b c (Å): 2.659 2.659 7.469
angles (deg): 90.00 90.00 90.00
Space group P4mm (No. 99)
One atom of each set of equivalent atoms:
Mn 0.000 0.000 0.000 (multiplicity 1)
Mn 0.500 0.500 0.226 (multiplicity 1)
Tc 0.500 0.500 0.743 (multiplicity 1)
Rh 0.000 0.000 0.483 (multiplicity 1)